## Sm2CuBr (PBE)

Data for Sm2CuBr after structural relaxation.

Lattice parameters (Å, degrees): 4.031 4.031 8.042 75.49 75.49 60.00
Fractional positions:
1 Sm 0.070 0.070 0.789
2 Sm 0.263 0.263 0.210
3 Br 0.499 0.499 0.503
4 Cu 0.667 0.667 0.998

Uncorrected formation energy (eV/atom): -0.618
Magnetization (μB/f.u.): 0.00
V (Å³/atom): 27.1
Symmetry: No. 160
ΔE to the lowest computed polymorph (meV/atom): 21